Record 1
The following is a DFT calculation (GGA-PBE) of crystalline Ba3O2F at its relaxed geometry.

Computed properties:
Formation energy without anion corrections = -2.5265 eV/atom
Calculated density = 5.797 g/cm3
Final energy = -32.72 eV for the cell shown
Symmetry = No. 71

The structure in extended XYZ format:
```
6
Lattice="-1.149 -0.823 3.685 -2.000 -4.973 -1.734 6.874 0.386 0.115" Properties=species:S:1:pos:R:3 pbc="T T T"
F -1.000 -2.486 -0.867
O 2.522 -4.156 -0.143
O 1.203 -1.254 2.208
Ba 3.412 -1.617 0.702
Ba 0.000 0.000 0.000
Ba 0.313 -3.793 1.364
```


Record 2
The following is a DFT calculation (GGA-PBE) of crystalline BaO2F2 at its relaxed geometry.

Computed properties:
Formation energy without anion corrections = -1.3806 eV/atom
Calculated density = 4.906 g/cm3
Final energy = -22.48 eV for the cell shown
Symmetry = No. 123

The structure in extended XYZ format:
```
5
Lattice="4.520 0.000 0.000 0.000 4.520 0.000 0.000 0.000 3.435" Properties=species:S:1:pos:R:3 pbc="T T T"
Ba 2.260 2.260 1.717
F 2.260 0.000 0.000
F 0.000 2.260 0.000
O 0.000 0.000 0.000
O 0.000 0.000 1.717
```


Record 3
The following is a DFT calculation (GGA-PBE) of crystalline BaOF2 at its relaxed geometry.

Computed properties:
Excess energy over the best structure of this formula in the dataset = 0.0 meV/atom
Formation energy without anion corrections = -2.2024 eV/atom
Calculated density = 4.939 g/cm3
Final energy = -19.43 eV for the cell shown
Symmetry = No. 166

The structure in extended XYZ format:
```
4
Lattice="-2.875 2.832 -2.303 -2.752 3.135 2.047 0.596 4.596 -0.337" Properties=species:S:1:pos:R:3 pbc="T T T"
F -1.193 2.506 -0.141
F -3.836 8.057 -0.452
O -2.515 5.281 -0.296
Ba 0.000 0.000 0.000
```


Record 4
The following is a DFT calculation (GGA-PBE) of crystalline BaO2F2 at its relaxed geometry.

Computed properties:
Formation energy without anion corrections = -0.8808 eV/atom
Calculated density = 2.360 g/cm3
Final energy = -19.99 eV for the cell shown
Symmetry = No. 123

The structure in extended XYZ format:
```
5
Lattice="5.009 0.000 0.000 0.000 5.009 0.000 0.000 0.000 5.813" Properties=species:S:1:pos:R:3 pbc="T T T"
O 2.505 2.505 2.907
O 0.000 0.000 2.907
Ba 0.000 0.000 0.000
F 0.000 2.505 0.000
F 2.505 0.000 0.000
```


Record 5
The following is a DFT calculation (GGA-PBE) of crystalline Ba3O3F at its relaxed geometry.

Computed properties:
Formation energy without anion corrections = -2.5305 eV/atom
Calculated density = 5.087 g/cm3
Final energy = -80.46 eV for the cell shown
Symmetry = No. 148

The structure in extended XYZ format:
```
14
Lattice="-5.060 3.837 3.930 -7.199 -1.325 -1.482 -3.910 -3.761 5.133" Properties=species:S:1:pos:R:3 pbc="T T T"
Ba -5.952 1.044 5.040
Ba -8.381 -1.707 6.553
Ba -7.788 0.459 1.028
Ba -6.413 -3.060 3.381
Ba -9.756 1.811 4.200
Ba -10.217 -2.293 2.541
O -7.302 2.085 3.021
O -7.768 -2.166 1.327
O -8.868 -3.334 4.560
O -5.873 -1.537 5.471
O -8.401 0.917 6.254
O -10.296 0.288 2.110
F -10.812 -0.835 5.069
F -5.357 -0.414 2.512
```


Record 6
The following is a DFT calculation (GGA-PBE) of crystalline Ba3OF at its relaxed geometry.

Computed properties:
Excess energy over the best structure of this formula in the dataset = 0.0 meV/atom
Formation energy without anion corrections = -1.4158 eV/atom
Calculated density = 4.529 g/cm3
Final energy = -19.68 eV for the cell shown
Symmetry = No. 221

The structure in extended XYZ format:
```
5
Lattice="-3.327 -3.957 -1.795 3.648 -3.772 1.555 -2.362 -0.252 4.930" Properties=species:S:1:pos:R:3 pbc="T T T"
Ba 1.824 -1.886 0.777
Ba -1.663 -1.979 -0.898
Ba -1.181 -0.126 2.465
O 0.000 0.000 0.000
F -1.020 -3.990 2.345
```


Record 7
The following is a DFT calculation (GGA-PBE) of crystalline BaO2F2 at its relaxed geometry.

Computed properties:
Formation energy without anion corrections = -0.9924 eV/atom
Calculated density = 4.602 g/cm3
Final energy = -20.54 eV for the cell shown
Symmetry = No. 123

The structure in extended XYZ format:
```
5
Lattice="3.853 0.000 0.000 0.000 3.853 0.000 0.000 0.000 5.039" Properties=species:S:1:pos:R:3 pbc="T T T"
Ba 1.927 1.927 2.519
O 1.927 0.000 0.000
O 0.000 1.927 0.000
F 0.000 0.000 2.519
F 0.000 0.000 0.000
```


Record 8
The following is a DFT calculation (GGA-PBE) of crystalline BaO2F3 at its relaxed geometry.

Computed properties:
Formation energy without anion corrections = -1.9267 eV/atom
Calculated density = 3.348 g/cm3
Final energy = -58.03 eV for the cell shown
Symmetry = No. 2

The structure in extended XYZ format:
```
12
Lattice="9.462 1.125 -4.530 0.052 4.140 0.508 -1.196 3.373 6.765" Properties=species:S:1:pos:R:3 pbc="T T T"
O 5.952 5.634 0.571
O 3.322 3.377 2.795
O 4.996 5.261 -0.051
O 2.366 3.005 2.172
Ba 8.272 4.066 -2.771
Ba 0.046 4.572 5.514
F 0.338 0.898 1.157
F 7.980 7.740 1.586
F 2.746 3.092 0.311
F 0.769 2.678 3.670
F 5.572 5.546 2.432
F 7.549 5.960 -0.927
```


Record 9
The following is a DFT calculation (GGA-PBE) of crystalline Ba2O2F3 at its relaxed geometry.

Computed properties:
Formation energy without anion corrections = -2.7348 eV/atom
Calculated density = 4.569 g/cm3
Final energy = -38.52 eV for the cell shown
Symmetry = No. 2

The structure in extended XYZ format:
```
7
Lattice="4.046 -0.185 0.823 1.505 4.305 0.714 -0.168 -1.227 7.318" Properties=species:S:1:pos:R:3 pbc="T T T"
F 2.580 2.867 3.665
F 2.803 0.026 5.190
F 2.023 -0.092 0.411
O 1.066 2.322 0.926
O 4.317 0.571 7.929
Ba 3.338 0.163 2.593
Ba 2.045 2.730 6.263
```


Record 10
The following is a DFT calculation (GGA-PBE) of crystalline BaOsOF2 at its relaxed geometry.

Computed properties:
Excess energy over the best structure of this formula in the dataset = 0.0 meV/atom
Formation energy without anion corrections = -1.5695 eV/atom
Calculated density = 7.485 g/cm3
Final energy = -29.70 eV for the cell shown
Symmetry = No. 123

The structure in extended XYZ format:
```
5
Lattice="4.703 0.000 0.000 0.000 4.703 0.000 0.000 0.000 3.826" Properties=species:S:1:pos:R:3 pbc="T T T"
Ba 2.352 2.352 1.913
F 0.000 2.352 0.000
F 2.352 0.000 0.000
O 0.000 0.000 1.913
Os 0.000 0.000 0.000
```


Record 11
The following is a DFT calculation (GGA-PBE) of crystalline BaOsO2F at its relaxed geometry.

Computed properties:
Formation energy without anion corrections = -1.7572 eV/atom
Calculated density = 7.235 g/cm3
Final energy = -33.73 eV for the cell shown
Symmetry = No. 123

The structure in extended XYZ format:
```
5
Lattice="-2.705 2.346 -1.320 -1.395 0.379 3.532 3.599 4.668 0.921" Properties=species:S:1:pos:R:3 pbc="T T T"
F 1.800 2.334 0.460
Os 0.000 0.000 0.000
O -1.352 1.173 -0.660
O -0.698 0.189 1.766
Ba -0.250 3.696 1.566
```


Record 12
The following is a DFT calculation (GGA-PBE) of crystalline BaOsOF2 at its relaxed geometry.

Computed properties:
Excess energy over the best structure of this formula in the dataset = 1248.1 meV/atom
Formation energy without anion corrections = -0.3214 eV/atom
Calculated density = 5.043 g/cm3
Final energy = -23.46 eV for the cell shown
Symmetry = No. 123

The structure in extended XYZ format:
```
5
Lattice="4.980 0.000 0.000 0.000 4.980 0.000 0.000 0.000 5.066" Properties=species:S:1:pos:R:3 pbc="T T T"
O 0.000 0.000 2.533
Os 2.490 2.490 2.533
F 2.490 0.000 0.000
F 0.000 2.490 0.000
Ba 0.000 0.000 0.000
```


Record 13
The following is a DFT calculation (GGA-PBE) of crystalline BaOsO4F at its relaxed geometry.

Computed properties:
Formation energy without anion corrections = -1.8436 eV/atom
Calculated density = 4.103 g/cm3
Final energy = -95.52 eV for the cell shown
Symmetry = No. 12

The structure in extended XYZ format:
```
14
Lattice="6.784 -0.355 -0.057 1.912 6.518 -0.057 1.698 1.204 7.380" Properties=species:S:1:pos:R:3 pbc="T T T"
F 9.851 6.982 5.965
F 0.542 0.384 1.301
O 7.047 4.995 3.637
O 3.780 0.945 1.129
O 2.144 3.254 1.129
O 6.613 6.422 6.137
O 3.347 2.372 3.629
O 5.420 3.842 5.713
O 4.973 3.525 1.553
O 8.250 4.113 6.137
Ba 3.155 2.236 6.456
Ba 7.239 5.131 0.810
Os 3.568 2.529 1.897
Os 6.826 4.838 5.369
```


Record 14
The following is a DFT calculation (GGA-PBE) of crystalline BaOsO2F at its relaxed geometry.

Computed properties:
Formation energy without anion corrections = 0.3861 eV/atom
Calculated density = 5.247 g/cm3
Final energy = -23.01 eV for the cell shown
Symmetry = No. 123

The structure in extended XYZ format:
```
5
Lattice="4.945 0.000 0.000 0.000 4.945 0.000 0.000 0.000 4.899" Properties=species:S:1:pos:R:3 pbc="T T T"
F 0.000 0.000 2.449
O 2.473 0.000 0.000
O 0.000 2.473 0.000
Os 2.473 2.473 2.449
Ba 0.000 0.000 0.000
```


Record 15
The following is a DFT calculation (GGA-PBE) of crystalline BaOs2O7F2 at its relaxed geometry.

Computed properties:
Formation energy without anion corrections = -1.0320 eV/atom
Calculated density = 7.448 g/cm3
Final energy = -75.22 eV for the cell shown
Symmetry = No. 139

The structure in extended XYZ format:
```
12
Lattice="3.921 0.000 0.000 0.000 3.921 0.000 -1.961 -1.962 9.683" Properties=species:S:1:pos:R:3 pbc="T T T"
O 1.961 0.000 2.001
O 0.000 1.961 2.000
O 0.000 1.959 7.682
O 1.961 1.961 3.927
O 0.000 -0.002 5.756
O 1.961 -0.002 7.682
O 1.961 1.960 0.000
Os 1.961 1.961 2.214
Os 0.000 -0.002 7.468
F 0.000 1.959 4.841
F 1.961 0.000 4.841
Ba 0.000 3.921 0.000
```


Record 16
The following is a DFT calculation (GGA-PBE) of crystalline Ba5P3O12F at its relaxed geometry.

Computed properties:
Formation energy without anion corrections = -2.9646 eV/atom
Calculated density = 4.549 g/cm3
Final energy = -298.94 eV for the cell shown
Symmetry = No. 173

The structure in extended XYZ format:
```
42
Lattice="-8.113 -4.521 -4.520 1.430 -0.950 10.186 -4.264 6.452 1.201" Properties=species:S:1:pos:R:3 pbc="T T T"
P -5.329 -1.822 3.546
P -4.265 -0.239 -1.181
P -5.606 2.785 3.317
P -8.382 -3.119 -0.324
P -6.670 1.202 8.044
P -2.553 4.083 7.187
Ba -9.194 3.118 1.582
Ba -7.056 -0.117 0.980
Ba -6.007 4.299 6.482
Ba -0.110 0.809 7.946
Ba -8.283 0.698 5.025
Ba -10.826 0.154 -1.083
Ba -3.881 1.082 5.883
Ba -5.265 3.646 -0.101
Ba -5.670 -2.683 6.964
Ba -2.653 0.265 1.838
O -8.828 -1.761 -0.952
O -4.350 -1.387 4.680
O -6.484 -0.039 7.115
O -4.448 1.003 -0.253
O -7.446 -3.849 -1.338
O -3.487 4.812 8.204
O -2.109 2.723 7.812
O -2.572 -0.742 7.533
O -6.585 2.348 2.182
O -6.087 2.213 4.691
O -4.166 2.252 3.037
O -5.374 2.074 7.970
O -5.545 4.341 3.422
O -9.425 0.444 2.329
O -3.371 3.786 5.887
O -7.867 2.047 7.505
O -8.363 1.704 -0.670
O -5.563 -1.108 -1.107
O -3.071 -1.087 -0.641
O -4.850 -1.247 2.172
O -1.510 0.518 4.533
O -7.566 -2.820 0.976
O -6.770 -1.291 3.829
O -5.389 -3.378 3.437
F -1.051 1.590 0.296
F -3.183 4.816 0.896
```


Record 17
The following is a DFT calculation (GGA-PBE) of crystalline BaP2OF at its relaxed geometry.

Computed properties:
Excess energy over the best structure of this formula in the dataset = 0.0 meV/atom
Formation energy without anion corrections = -0.3670 eV/atom
Calculated density = 3.859 g/cm3
Final energy = -21.41 eV for the cell shown
Symmetry = No. 123

The structure in extended XYZ format:
```
5
Lattice="4.052 0.000 0.000 0.000 4.052 0.000 0.000 0.000 6.140" Properties=species:S:1:pos:R:3 pbc="T T T"
O 0.000 0.000 3.070
F 0.000 0.000 0.000
P 2.026 0.000 0.000
P 0.000 2.026 0.000
Ba 2.026 2.026 3.070
```


Record 18
The following is a DFT calculation (GGA-PBE) of crystalline Ba2PO4F2 at its relaxed geometry.

Computed properties:
Formation energy without anion corrections = -2.6299 eV/atom
Calculated density = 4.926 g/cm3
Final energy = -56.50 eV for the cell shown
Symmetry = No. 139

The structure in extended XYZ format:
```
9
Lattice="5.781 -0.046 -0.067 -2.815 5.049 0.067 -2.815 -1.711 4.750" Properties=species:S:1:pos:R:3 pbc="T T T"
P 0.000 0.000 0.000
O -1.027 2.647 3.821
O -2.815 3.707 0.996
O 1.177 0.644 0.929
O -2.815 -0.370 3.821
F -4.284 2.539 3.665
F -1.347 0.798 1.152
Ba 0.075 -0.044 3.546
Ba 0.075 3.336 1.204
```


Record 19
The following is a DFT calculation (GGA-PBE) of crystalline BaP2OF at its relaxed geometry.

Computed properties:
Excess energy over the best structure of this formula in the dataset = 982.8 meV/atom
Formation energy without anion corrections = 0.6158 eV/atom
Calculated density = 1.759 g/cm3
Final energy = -16.49 eV for the cell shown
Symmetry = No. 123

The structure in extended XYZ format:
```
5
Lattice="-1.179 6.770 1.020 -4.177 -1.532 5.335 3.578 0.193 2.857" Properties=species:S:1:pos:R:3 pbc="T T T"
O 1.789 0.096 1.428
P -2.089 -0.766 2.668
P -0.590 3.385 0.510
F -0.889 2.715 4.606
Ba 0.000 0.000 0.000
```


Record 20
The following is a DFT calculation (GGA-PBE) of crystalline BaPO3F at its relaxed geometry.

Computed properties:
Formation energy without anion corrections = -2.8639 eV/atom
Calculated density = 4.145 g/cm3
Final energy = -330.10 eV for the cell shown
Symmetry = No. 14

The structure in extended XYZ format:
```
48
Lattice="-7.403 4.749 -0.779 -0.764 -2.653 -8.917 -5.125 -7.938 0.312" Properties=species:S:1:pos:R:3 pbc="T T T"
O -5.769 -9.144 -7.933
O -7.604 -2.281 -1.002
O -7.910 1.658 -4.586
O -4.001 -5.321 -1.058
O -2.983 -3.724 -3.679
O -9.370 -6.055 -7.850
O -8.051 -6.109 -3.755
O -7.522 3.302 -1.451
O -5.240 0.267 -5.629
O -10.308 -2.118 -5.705
O -5.381 -7.500 -4.798
O -7.930 0.767 -1.486
O -3.921 0.213 -1.534
O -9.291 -0.521 -8.326
O -6.190 -0.939 -3.582
O -7.356 -1.173 -5.844
O -11.219 -3.298 -3.626
O -7.102 -4.903 -5.803
O -5.936 -4.669 -3.540
O -2.072 -2.544 -5.758
O -7.190 -4.768 -0.570
O -6.101 -1.074 -8.814
O -5.362 -6.609 -7.898
O -5.687 -3.561 -8.382
P -6.056 -0.908 -5.104
P -8.105 -3.579 -0.361
P -7.235 -4.934 -4.280
P -1.921 -2.787 -4.261
P -4.963 -7.963 -8.459
P -8.328 2.121 -0.925
P -5.187 -2.263 -9.023
P -11.371 -3.055 -5.123
F -8.179 -3.634 -3.955
F -3.816 -1.939 -8.171
F -10.859 -3.486 -8.655
F -2.433 -2.356 -0.729
F -5.113 -2.208 -5.429
F -10.981 -4.509 -5.790
F -2.311 -1.333 -3.594
F -9.475 -3.903 -1.213
Ba -4.972 -2.747 -1.812
Ba -9.017 -1.076 -3.228
Ba -8.319 -3.095 -7.573
Ba -7.681 -7.743 -6.285
Ba -6.256 -7.086 -1.716
Ba -7.036 1.244 -7.668
Ba -5.610 1.901 -3.099
Ba -4.275 -4.766 -6.157
```


Record 21
The following is a DFT calculation (GGA-PBE) of crystalline Ba2PaO3F3 at its relaxed geometry.

Computed properties:
Formation energy without anion corrections = -3.4984 eV/atom
Calculated density = 7.212 g/cm3
Final energy = -65.32 eV for the cell shown
Symmetry = No. 189

The structure in extended XYZ format:
```
9
Lattice="-2.822 -1.128 -1.656 3.458 -5.510 -2.142 -3.408 -0.191 5.938" Properties=species:S:1:pos:R:3 pbc="T T T"
F -1.350 -0.076 2.352
F 1.370 -2.183 -0.849
F 0.030 -3.443 2.292
Ba -2.530 -2.528 2.416
Ba -0.242 -4.301 -0.277
O 1.289 -4.865 -2.500
O -1.400 -1.814 0.004
O -4.072 -0.713 3.807
Pa 0.000 0.000 0.000
```


Record 22
The following is a DFT calculation (GGA-PBE) of crystalline BaPbOF2 at its relaxed geometry.

Computed properties:
Formation energy without anion corrections = -1.8747 eV/atom
Calculated density = 5.319 g/cm3
Final energy = -23.71 eV for the cell shown
Symmetry = No. 123

The structure in extended XYZ format:
```
5
Lattice="4.881 0.000 0.000 0.000 4.881 0.000 0.000 0.000 5.222" Properties=species:S:1:pos:R:3 pbc="T T T"
F 2.441 0.000 0.000
F 0.000 2.441 0.000
O 0.000 0.000 2.611
Pb 2.441 2.441 2.611
Ba 0.000 0.000 0.000
```